1.
La2TcP | GGA-PBE | optimized geometry

Unit cell a=5.2373 b=5.2373 c=5.2373 alpha=125.06 beta=125.06 gamma=81.43
Last column: nearest neighbours and their distance in Å.
Fractional positions:
La: 0.2500 0.7500 0.5000  4 Tc 3.13, 4 P 3.13, 4 La 3.42
La: 0.7500 0.2500 0.5000  4 Tc 3.13, 4 P 3.13, 4 La 3.42
Tc: 0.0000 0.0000 0.0000  8 La 3.13, 4 P 3.42
P: 0.5000 0.5000 0.0000  8 La 3.13, 4 Tc 3.42

Formation energy: -0.2471 eV/atom
Space-group type: No. 139


2.
La3TcP | GGA-PBE | optimized geometry

Unit cell a=5.3542 b=5.3542 c=5.3542 alpha=90.00 beta=90.00 gamma=90.00
Last column: nearest neighbours and their distance in Å.
Fractional positions:
La: 0.0000 0.0000 0.5000  2 Tc 2.68
La: 0.0000 0.5000 0.0000  2 Tc 2.68
La: 0.5000 0.0000 0.0000  2 Tc 2.68
Tc: 0.0000 0.0000 0.0000  6 La 2.68
P: 0.5000 0.5000 0.5000  12 La 3.79

Formation energy: -0.1517 eV/atom
Offset from the most stable computed form: 0.000 eV per atom
Space-group type: No. 221


3.
La2TcP | GGA-PBE | optimized geometry

Unit cell a=4.9310 b=4.9310 c=4.9310 alpha=60.00 beta=60.00 gamma=60.00
Last column: nearest neighbours and their distance in Å.
Fractional positions:
La: 0.0000 0.0000 0.0000  4 La 3.02, 4 Tc 3.02
La: 0.2500 0.2500 0.2500  4 La 3.02, 4 P 3.02
Tc: 0.7500 0.7500 0.7500  4 La 3.02, 4 P 3.02
P: 0.5000 0.5000 0.5000  4 La 3.02, 4 Tc 3.02

Formation energy: -0.0771 eV/atom
Space-group type: No. 216